# 1
# YCuCl2 | Alexandria | PBE | relaxed
# Energy, eV per cell: -17.34
# E_form (uncorrected), eV per atom: -0.77
data_YCuCl2
_cell_length_a 4.037
_cell_length_b 4.371
_cell_length_c 4.416
_cell_angle_alpha 90.00
_cell_angle_beta 90.00
_cell_angle_gamma 90.00
_space_group_name_H-M_alt 'P m m m'
_space_group_IT_number 47
loop_
_space_group_symop_operation_xyz
'x,y,z'
'-x,-y,-z'
'-x,-y,z'
'x,y,-z'
'x,-y,-z'
'-x,y,z'
'-x,y,-z'
'x,-y,z'
loop_
_atom_site_label
_atom_site_fract_x
_atom_site_fract_y
_atom_site_fract_z
_atom_site_occupancy
Y1 0.000 0.000 0.000 1
Cu1 0.000 0.500 0.500 1
Cl1 0.500 0.000 0.500 1
Cl2 0.500 0.500 0.000 1

=====

# 2
# YCuCl | Alexandria | PBE | relaxed
# Energy, eV per cell: -14.39
# E_form (uncorrected), eV per atom: -0.66
data_YCuCl
_cell_length_a 3.7245
_cell_length_b 3.7245
_cell_length_c 6.7978
_cell_angle_alpha 90.00
_cell_angle_beta 90.00
_cell_angle_gamma 120.00
_space_group_name_H-M_alt 'P 3 m 1'
_space_group_IT_number 156
loop_
_space_group_symop_operation_xyz
'x,y,z'
'-y,x-y,z'
'-x+y,-x,z'
'-y,-x,z'
'-x+y,y,z'
'x,x-y,z'
loop_
_atom_site_label
_atom_site_fract_x
_atom_site_fract_y
_atom_site_fract_z
_atom_site_occupancy
Y1 0.0000 0.0000 0.0000 1
Cu1 0.3333 0.6667 0.7345 1
Cl1 0.6667 0.3333 0.2595 1

=====

# 3
# YCuCl2 | Alexandria | PBE | relaxed
# Energy, eV per cell: -37.35
# E_form (uncorrected), eV per atom: -1.11
data_YCuCl2
_cell_length_a 10.224
_cell_length_b 3.592
_cell_length_c 7.319
_cell_angle_alpha 90.00
_cell_angle_beta 123.50
_cell_angle_gamma 90.00
_space_group_name_H-M_alt 'C 1 m 1'
_space_group_IT_number 8
loop_
_space_group_symop_operation_xyz
'x,y,z'
'x,-y,z'
'x+1/2,y+1/2,z'
'x+1/2,-y+1/2,z'
loop_
_atom_site_label
_atom_site_fract_x
_atom_site_fract_y
_atom_site_fract_z
_atom_site_occupancy
Y1 0.000 0.000 0.000 1
Cu1 0.287 0.000 0.673 1
Cl1 0.054 0.500 0.315 1
Cl2 0.194 0.500 0.982 1

=====

# 4
# YCuCl2 | Alexandria | PBE | relaxed
# Energy, eV per cell: -52.79
# E_form (uncorrected), eV per atom: -0.84
data_YCuCl2
_cell_length_a 3.5447
_cell_length_b 3.5447
_cell_length_c 30.8515
_cell_angle_alpha 90.00
_cell_angle_beta 90.00
_cell_angle_gamma 120.00
_space_group_name_H-M_alt 'R -3 m'
_space_group_IT_number 166
_space_group_name_Hall '-R 3 2"'
loop_
_atom_site_label
_atom_site_fract_x
_atom_site_fract_y
_atom_site_fract_z
_atom_site_occupancy
Y1 0.0000 0.0000 0.0000 1
Cu1 0.0000 0.0000 0.5000 1
Cl1 0.0000 0.0000 0.2760 1